# 1
Hf2InFe: relaxed, PBE.

The structure belongs to space group R-3m (No. 166, hexagonal axes); the cell edges are 3.2632, 3.2632 and 25.8795 Å and the angles 90.00°, 90.00° and 120.00°. Symmetry generates all atoms from Hf at (0.0000, 0.0000, 0.2342), In at (0.0000, 0.0000, 0.0000) and Fe at (0.0000, 0.0000, 0.5000).

As for the total magnetization: 0.124 μB/atom. The value obtained for the energy of formation is -0.0211 eV/atom.


# 2
Fe2CuRu: relaxed, PBE.

The structure belongs to space group I4/mmm (No. 139); the cell edges are 3.6999, 3.6999 and 7.2519 Å and the angles 90.00°, 90.00° and 90.00°. Symmetry generates all atoms from Fe at (0.0000, 0.5000, 0.2500), Cu at (0.0000, 0.0000, 0.0000) and Ru at (0.0000, 0.0000, 0.5000).

As for the energy above the lowest structure with this stoichiometry: 0.018 eV per atom. As for the total magnetization: 1.360 μB/atom. The value obtained for the energy of formation is 0.1821 eV/atom.


# 3
ScBeRu3: relaxed, PBE.

The structure belongs to space group Pm-3m (No. 221); the cell edges are 4.5688, 4.5688 and 4.5688 Å and the angles 90.00°, 90.00° and 90.00°. Symmetry generates all atoms from Sc at (0.0000, 0.0000, 0.0000), Be at (0.5000, 0.5000, 0.5000) and Ru at (0.0000, 0.0000, 0.5000).

As for the energy above the lowest structure with this stoichiometry: 1.731 eV per atom. As for the total magnetization: 0.290 μB/atom. The value obtained for the energy of formation is 1.7946 eV/atom.